Compound: NdErTmRu
Source: Alexandria
Functional: GGA-PBE
Structure: relaxed

```
NdErTmRu
1.0
3.421 0.000 0.000
0.000 3.421 0.000
0.000 0.000 8.953
Nd Er Tm Ru
1 1 1 1
Direct
0.000 0.000 0.000
0.500 0.500 0.679
0.500 0.500 0.319
0.000 0.000 0.498
```

Formation energy from the elements = -1.11 eV per formula unit
E_tot = -6.047 eV/atom
Crystal system = tetragonal